# NiAsP2

An optimized crystal structure of NiAsP2 (PBE, the Alexandria database).

```
4
Lattice="-2.556 -0.044 0.140 -0.082 -1.555 -2.032 0.498 -8.462 6.453" Properties=species:S:1:pos:R:3 pbc="T T T"
Ni -0.940 -7.241 3.967
P -1.189 -3.000 0.732
As 0.285 -4.847 3.696
P 0.451 -7.665 5.845
```

Values from the calculation:
The value obtained for the formation energy from the elements is 25.0 kJ per mole of atoms. Its space group is P4mm, No. 99. The density is 4.65 g/cm3.